1.
VASP calculation (PBE) on a relaxed structure of KLiI3.

a b c (Å): 5.749 5.749 5.749
angles (deg): 90.00 90.00 90.00
Element x y z (fractional)
K1 0.500 0.500 0.500
Li1 0.000 0.000 0.000
I1 0.500 0.000 0.000
I2 0.000 0.000 0.500
I3 0.000 0.500 0.000

Raw formation energy = -0.89 eV/atom
ΔE to the lowest computed polymorph = 13.3 kJ per mole of atoms
Total energy = -12.1 eV/cell
Size of the total moment = 0.00 μB per atom
DOS(E_F) = 11.77 states/eV per cell

2.
VASP calculation (PBE) on a relaxed structure of Ta2TcAu.

a b c (Å): 2.789 2.789 8.845
angles (deg): 90.00 90.00 90.00
Element x y z (fractional)
Au1 0.500 0.500 0.745
Ta1 0.000 0.000 0.997
Ta2 0.500 0.500 0.256
Tc1 0.000 0.000 0.502

ΔE to the lowest computed polymorph = 24.5 kJ per mole of atoms
Total energy = -36.9 eV/cell
Size of the total moment = 0.00 μB per atom
DOS(E_F) = 3.33 states/eV per cell
Formation energy from the elements = 0.5 eV per formula unit

3.
VASP calculation (PBE) on a relaxed structure of CsRbInPb.

a b c (Å): 6.120 6.120 6.120
angles (deg): 60.00 60.00 60.00
Element x y z (fractional)
Pb1 0.750 0.750 0.750
Rb1 0.500 0.500 0.500
Cs1 0.250 0.250 0.250
In1 0.000 0.000 0.000

ΔE to the lowest computed polymorph = 7.2 kJ per mole of atoms
Total energy = -8.4 eV/cell
Size of the total moment = 0.00 μB per atom
DOS(E_F) = 2.33 states/eV per cell
Formation energy from the elements = -0.1 eV per formula unit

4.
VASP calculation (PBE) on a relaxed structure of Hf2Cu3Pd3.

a b c (Å): 4.993 4.993 4.993
angles (deg): 87.28 87.28 92.72
Element x y z (fractional)
Cu1 0.222 0.778 0.500
Cu2 0.778 0.500 0.778
Cu3 0.500 0.222 0.222
Hf1 0.261 0.261 0.739
Hf2 0.739 0.739 0.261
Pd1 0.000 0.258 0.258
Pd2 0.258 0.742 0.000
Pd3 0.742 0.000 0.742

Total energy = -51.8 eV/cell
Size of the total moment = 0.00 μB per atom
DOS(E_F) = 4.83 states/eV per cell
Formation energy from the elements = -4.0 eV per formula unit

5.
VASP calculation (PBE) on a relaxed structure of LiNbNi2.

a b c (Å): 2.847 2.847 6.349
angles (deg): 90.00 90.00 90.00
Element x y z (fractional)
Ni1 0.000 0.000 0.222
Ni2 0.000 0.000 0.778
Li1 0.500 0.500 0.000
Nb1 0.500 0.500 0.500

Total energy = -23.7 eV/cell
Size of the total moment = 0.00 μB per atom
DOS(E_F) = 4.36 states/eV per cell
Formation energy from the elements = -0.2 eV per formula unit

6.
VASP calculation (PBE) on a relaxed structure of Nd4PSe2N.

a b c (Å): 4.018 6.968 7.253
angles (deg): 108.64 90.00 90.00
Element x y z (fractional)
Se1 0.500 0.000 0.500
Se2 0.000 0.500 0.500
Nd1 0.000 0.760 0.218
Nd2 0.500 0.779 0.790
Nd3 0.500 0.221 0.210
Nd4 0.000 0.240 0.782
P1 0.500 0.500 0.000
N1 0.000 0.000 0.000

Raw formation energy = -1.64 eV/atom
Total energy = -52.9 eV/cell
Size of the total moment = 0.00 μB per atom
DOS(E_F) = 2.90 states/eV per cell

7.
VASP calculation (PBE) on a relaxed structure of Ac4SiNCl2.

a b c (Å): 4.199 7.300 7.966
angles (deg): 108.12 90.00 90.00
Element x y z (fractional)
Ac1 0.000 0.713 0.200
Ac2 0.500 0.271 0.208
Ac3 0.000 0.287 0.800
Ac4 0.500 0.729 0.792
Cl1 0.500 0.000 0.500
Cl2 0.000 0.500 0.500
Si1 0.000 0.000 0.000
N1 0.500 0.500 0.000

Raw formation energy = -1.22 eV/atom
Total energy = -43.6 eV/cell
Size of the total moment = 0.00 μB per atom
DOS(E_F) = 3.68 states/eV per cell

8.
VASP calculation (PBE) on a relaxed structure of ScTl2GaTe4.

a b c (Å): 7.047 7.071 7.071
angles (deg): 75.62 60.11 60.11
Element x y z (fractional)
Tl1 0.500 0.500 0.500
Tl2 0.000 0.500 0.500
Te1 0.562 0.000 0.345
Te2 0.438 0.655 0.000
Te3 0.093 0.345 0.000
Te4 0.907 0.000 0.655
Sc1 0.000 0.000 0.000
Ga1 0.500 0.000 0.000

Raw formation energy = -0.58 eV/atom
Total energy = -31.3 eV/cell
Size of the total moment = 0.00 μB per atom